[1]
A plane-wave DFT calculation with SCAN was carried out for a PBEsol-optimized structure of RbPbC3.

```
RbPbC3
1.0
4.630 0.000 0.000
0.000 4.630 0.000
0.000 0.000 4.630
Rb Pb C
1 1 3
Cartesian
0.000 0.000 0.000
2.315 2.315 2.315
0.000 2.315 2.315
2.315 0.000 2.315
2.315 2.315 0.000
```

Calculated values
ΔE_f: 2.867 eV per atom
raw total energy: -22.50 eV/atom

[2]
A plane-wave DFT calculation with SCAN was carried out for a PBEsol-optimized structure of KCaMo.

```
KCaMo
1.0
3.135 0.000 0.000
-1.567 2.715 0.000
0.000 0.000 9.182
K Ca Mo
1 1 1
Cartesian
0.000 0.000 0.000
1.567 0.905 3.809
0.000 1.810 6.247
```

Calculated values
ΔE_f: 1.238 eV per atom
raw total energy: -16.39 eV/atom

Please write out number 1 again, unchanged.
A plane-wave DFT calculation with SCAN was carried out for a PBEsol-optimized structure of RbPbC3.

```
RbPbC3
1.0
4.630 0.000 0.000
0.000 4.630 0.000
0.000 0.000 4.630
Rb Pb C
1 1 3
Cartesian
0.000 0.000 0.000
2.315 2.315 2.315
0.000 2.315 2.315
2.315 0.000 2.315
2.315 2.315 0.000
```

Calculated values
ΔE_f: 2.867 eV per atom
raw total energy: -22.50 eV/atom